# 1
# ZrI2BrO

ZrI2BrO after structural relaxation (GGA-PBE, Alexandria).

Lattice parameters (Å, degrees): 5.9425 5.9425 4.0332 90.00 90.00 90.00
Site moments in Bohr magnetons follow the coordinates.
Element x y z (fractional)
O1 0.0000 0.0000 0.5000  0.00
I1 0.5000 0.0000 0.0000  0.10
I2 0.0000 0.5000 0.0000  0.10
Br1 0.5000 0.5000 0.5000  0.37
Zr1 0.0000 0.0000 0.0000  0.02

Summary:
ΔE_f (raw)   -1.021 eV/atom
Crystal system   tetragonal
Excess energy over the best structure of this formula in the dataset   0.00 kJ/mol of atoms
Total moment   0.80 μB per cell

***

# 2
# Pr2TmAl6

Pr2TmAl6 after structural relaxation (GGA-PBE, Alexandria).

Lattice parameters (Å, degrees): 4.4641 7.2194 8.1013 116.46 105.99 90.00
Element x y z (fractional)
Al1 0.6823 0.8715 0.3645
Al2 0.5000 0.1987 0.0000
Al3 0.6823 0.4930 0.3645
Al4 0.5000 0.8013 0.0000
Al5 0.3177 0.1285 0.6355
Al6 0.3177 0.5070 0.6355
Pr1 0.1240 0.1240 0.2480
Pr2 0.8760 0.8760 0.7520
Tm1 0.0000 0.5000 0.0000

Summary:
Crystal system   orthorhombic
Excess energy over the best structure of this formula in the dataset   27.68 kJ/mol of atoms
ΔH_f (0 K)   -167 meV/atom
Total moment   0.00 μB per cell

***

# 3
# CaY2OsC

CaY2OsC after structural relaxation (GGA-PBE, Alexandria).

Lattice parameters (Å, degrees): 5.1253 5.1253 4.0077 90.00 90.00 90.00
Element x y z (fractional)
Ca1 0.5000 0.5000 0.5000
Y1 0.5000 0.0000 0.0000
Y2 0.0000 0.5000 0.0000
Os1 0.0000 0.0000 0.5000
C1 0.0000 0.0000 0.0000

Summary:
Crystal system   tetragonal
ΔH_f (0 K)   -128 meV/atom
Total moment   0.00 μB per cell

***

# 4
# CaAcLuIn

CaAcLuIn after structural relaxation (GGA-PBE, Alexandria).

Lattice parameters (Å, degrees): 5.7030 5.7030 5.7030 60.00 60.00 60.00
Site moments in Bohr magnetons follow the coordinates.
Element x y z (fractional)
Ac1 0.0000 0.0000 0.0000  0.07
In1 0.5000 0.5000 0.5000  0.00
Lu1 0.7500 0.7500 0.7500  0.08
Ca1 0.2500 0.2500 0.2500  0.02

Summary:
Crystal system   cubic
ΔH_f (0 K)   18 meV/atom
Total moment   0.35 μB per cell